Entry 1:
Material: RbTlCo3
Method: DFT, GGA-PBE
State: optimized geometry

Values from the calculation:
- Energy relative to the elements: 2352 meV per atom
- Crystal system: cubic
- DOS(E_F): 18.22 states/eV/cell
- Calculated volume: 106.4 Å³/f.u.
- Magnetization: 3.56 μB/f.u.

a = 4.7386 Å, b = 4.7386 Å, c = 4.7386 Å
α = 90.00°, β = 90.00°, γ = 90.00°
Fractional coordinates of all 5 atoms:
Rb (0.0000, 0.0000, 0.0000)
Tl (0.5000, 0.5000, 0.5000)
Co (0.0000, 0.0000, 0.5000)
Co (0.0000, 0.5000, 0.0000)
Co (0.5000, 0.0000, 0.0000)

Entry 2:
Material: RbTlCo3
Method: DFT, GGA-PBE
State: optimized geometry

Values from the calculation:
- Energy relative to the elements: 1456 meV per atom
- Crystal system: cubic
- DOS(E_F): 8.14 states/eV/cell
- Calculated volume: 132.6 Å³/f.u.
- Magnetization: 5.69 μB/f.u.

a = 5.0992 Å, b = 5.0992 Å, c = 5.0992 Å
α = 90.00°, β = 90.00°, γ = 90.00°
Fractional coordinates of all 5 atoms:
Rb (0.0000, 0.0000, 0.0000)
Tl (0.5000, 0.5000, 0.5000)
Co (0.0000, 0.5000, 0.5000)
Co (0.5000, 0.0000, 0.5000)
Co (0.5000, 0.5000, 0.0000)

Entry 3:
Material: RbTlCo2
Method: DFT, GGA-PBE
State: optimized geometry

Values from the calculation:
- Energy relative to the elements: 1275 meV per atom
- Crystal system: cubic
- DOS(E_F): 17.74 states/eV/cell
- Calculated volume: 85.3 Å³/f.u.
- Magnetization: 3.09 μB/f.u.

a = 4.9420 Å, b = 4.9420 Å, c = 4.9420 Å
α = 60.00°, β = 60.00°, γ = 60.00°
Fractional coordinates of all 4 atoms:
Rb (0.0000, 0.0000, 0.0000)
Tl (0.5000, 0.5000, 0.5000)
Co (0.2500, 0.2500, 0.2500)
Co (0.7500, 0.7500, 0.7500)

Entry 4:
Material: RbTl2Co
Method: DFT, GGA-PBE
State: optimized geometry

Values from the calculation:
- Energy relative to the elements: 346 meV per atom
- Crystal system: tetragonal
- DOS(E_F): 2.58 states/eV/cell
- Calculated volume: 163.9 Å³/f.u.
- Magnetization: 0.00 μB/f.u.

a = 8.6723 Å, b = 8.6723 Å, c = 8.6723 Å
α = 134.40°, β = 134.40°, γ = 66.46°
Fractional coordinates of all 8 atoms:
Rb (0.3750, 0.6250, 0.7500)
Rb (0.6250, 0.3750, 0.2500)
Tl (0.0000, 0.0000, 0.0000)
Tl (0.0000, 0.0000, 0.5000)
Tl (0.0000, 0.5000, 0.0000)
Tl (0.5000, 0.0000, 0.5000)
Co (0.1250, 0.8750, 0.2500)
Co (0.8750, 0.1250, 0.7500)

Entry 5:
Material: Rb2TlCo
Method: DFT, GGA-PBE
State: optimized geometry

Values from the calculation:
- Energy relative to the elements: 527 meV per atom
- Crystal system: tetragonal
- DOS(E_F): 13.22 states/eV/cell
- Calculated volume: 208.1 Å³/f.u.
- Magnetization: 1.14 μB/f.u.

a = 9.4144 Å, b = 9.4144 Å, c = 9.4144 Å
α = 94.14°, β = 94.14°, γ = 148.81°
Fractional coordinates of all 8 atoms:
Rb (0.3750, 0.1949, 0.3199)
Rb (0.8051, 0.1250, 0.1801)
Rb (0.8750, 0.0551, 0.6801)
Rb (0.9449, 0.6250, 0.8199)
Tl (0.2500, 0.7500, 0.5000)
Tl (0.5000, 0.5000, 0.0000)
Co (0.0000, 0.0000, 0.0000)
Co (0.7500, 0.2500, 0.5000)

Entry 6:
Material: Rb2TlCo
Method: DFT, GGA-PBE
State: optimized geometry

Values from the calculation:
- Energy relative to the elements: 832 meV per atom
- Crystal system: cubic
- DOS(E_F): 7.85 states/eV/cell
- Calculated volume: 162.9 Å³/f.u.
- Magnetization: 0.74 μB/f.u.

a = 6.1300 Å, b = 6.1300 Å, c = 6.1300 Å
α = 60.00°, β = 60.00°, γ = 60.00°
Fractional coordinates of all 4 atoms:
Rb (0.2500, 0.2500, 0.2500)
Rb (0.7500, 0.7500, 0.7500)
Tl (0.0000, 0.0000, 0.0000)
Co (0.5000, 0.5000, 0.5000)

Number 1: E_tot -2.58 eV/atom. Number 2: E_tot -3.47 eV/atom. Number 3: E_tot -3.11 eV/atom. Number 4: E_tot -2.86 eV/atom. Number 5: E_tot -2.32 eV/atom. Number 6: E_tot -2.02 eV/atom.